A geometry-optimized TmTlPb2 structure. Source: Alexandria, functional PBE.

Results
uncorrected energy: -3.707 eV/atom

abc: 4.1170 4.1170 6.9447
angles: 90.00 90.00 90.00
Positions (direct):
Tm (0.0000, 0.0000, 0.0000)
Tl (0.0000, 0.0000, 0.5000)
Pb (0.5000, 0.5000, 0.2335)
Pb (0.5000, 0.5000, 0.7665)



A geometry-optimized PmU3Tl2O12 structure. Source: Alexandria, functional PBE.

Results
uncorrected energy: -8.360 eV/atom
formation energy (no corrections): -61.0 kcal/mol of atoms

abc: 8.0634 8.0634 8.0634
angles: 60.89 60.89 60.89
Positions (direct):
Pm (0.0000, 0.0000, 0.0000)
U (0.0000, 0.0000, 0.5000)
U (0.0000, 0.5000, 0.0000)
U (0.5000, 0.0000, 0.0000)
Tl (0.3174, 0.3174, 0.3174)
Tl (0.6826, 0.6826, 0.6826)
O (0.0513, 0.6960, 0.6960)
O (0.0690, 0.0690, 0.6578)
O (0.0690, 0.6578, 0.0690)
O (0.3040, 0.3040, 0.9487)
O (0.3040, 0.9487, 0.3040)
O (0.3422, 0.9310, 0.9310)
O (0.6578, 0.0690, 0.0690)
O (0.6960, 0.0513, 0.6960)
O (0.6960, 0.6960, 0.0513)
O (0.9310, 0.3422, 0.9310)
O (0.9310, 0.9310, 0.3422)
O (0.9487, 0.3040, 0.3040)



A geometry-optimized NaAcZn2Sn2 structure. Source: Alexandria, functional PBE.

Results
uncorrected energy: -3.034 eV/atom

abc: 4.7277 4.7277 7.8709
angles: 90.00 90.00 120.00
Positions (direct):
Na (0.0000, 0.0000, 0.0000)
Ac (0.0000, 0.0000, 0.5000)
Zn (0.3333, 0.6667, 0.2040)
Zn (0.6667, 0.3333, 0.7960)
Sn (0.3333, 0.6667, 0.7699)
Sn (0.6667, 0.3333, 0.2301)



A geometry-optimized Sc2VP structure. Source: Alexandria, functional PBE.

Results
uncorrected energy: -7.005 eV/atom
polymorph energy (0 for the lowest one): 0.0 meV/atom

abc: 4.5749 4.5749 4.5749
angles: 60.00 60.00 60.00
Positions (direct):
Sc (0.2500, 0.2500, 0.2500)
Sc (0.7500, 0.7500, 0.7500)
V (0.0000, 0.0000, 0.0000)
P (0.5000, 0.5000, 0.5000)



A geometry-optimized ScMn2Ru structure. Source: Alexandria, functional PBE.

Results
uncorrected energy: -8.365 eV/atom
polymorph energy (0 for the lowest one): 186.4 meV/atom

abc: 2.8259 4.2761 4.8907
angles: 90.00 100.57 90.00
Positions (direct):
Sc (0.0000, 0.0000, 0.0000)
Mn (0.5506, 0.0000, 0.5009)
Mn (0.6215, 0.5000, 0.2250)
Ru (0.2490, 0.5000, 0.6794)



A geometry-optimized LiAc2Zn2Pd5 structure. Source: Alexandria, functional PBE.

Results
uncorrected energy: -4.419 eV/atom

abc: 10.1534 10.1534 3.8988
angles: 90.00 90.00 90.00
Positions (direct):
Li (0.0000, 0.0000, 0.0000)
Li (0.5000, 0.5000, 0.0000)
Ac (0.1836, 0.3164, 0.0000)
Ac (0.3164, 0.8164, 0.0000)
Ac (0.6836, 0.1836, 0.0000)
Ac (0.8164, 0.6836, 0.0000)
Zn (0.1126, 0.6126, 0.0000)
Zn (0.3874, 0.1126, 0.0000)
Zn (0.6126, 0.8874, 0.0000)
Zn (0.8874, 0.3874, 0.0000)
Pd (0.0000, 0.5000, 0.5000)
Pd (0.0628, 0.7883, 0.5000)
Pd (0.2117, 0.0628, 0.5000)
Pd (0.2883, 0.5628, 0.5000)
Pd (0.4372, 0.2883, 0.5000)
Pd (0.5000, 0.0000, 0.5000)
Pd (0.5628, 0.7117, 0.5000)
Pd (0.7117, 0.4372, 0.5000)
Pd (0.7883, 0.9372, 0.5000)
Pd (0.9372, 0.2117, 0.5000)